1.
# Ce2Th4Sc | the Alexandria database | PBE | relaxed
# energy: -6.800 eV per atom
data_Ce2Th4Sc
_chemical_formula_sum 'Ce4 Th8 Sc2'
_cell_length_a 6.931
_cell_length_b 7.788
_cell_length_c 8.531
_cell_angle_alpha 68.48
_cell_angle_beta 89.97
_cell_angle_gamma 77.21
_space_group_name_H-M_alt 'P 1'
_space_group_IT_number 1
_space_group_name_Hall 'P 1'
loop_
_atom_site_label
_atom_site_fract_x
_atom_site_fract_y
_atom_site_fract_z
Ce1 0.000 0.000 0.000
Ce2 0.141 0.435 0.850
Ce3 0.285 0.860 0.716
Ce4 0.564 0.720 0.430
Th1 0.214 0.141 0.286
Th2 0.352 0.573 0.146
Th3 0.425 0.297 0.566
Th4 0.501 0.005 0.998
Th5 0.642 0.431 0.863
Th6 0.785 0.866 0.704
Th7 0.854 0.575 0.143
Th8 0.927 0.294 0.568
Sc1 0.061 0.723 0.425
Sc2 0.715 0.147 0.285

=====

2.
# Pr6C2SeS3 | the Alexandria database | PBE | relaxed
# energy: -6.622 eV per atom
data_Pr6C2SeS3
_chemical_formula_sum 'Pr12 C4 Se2 S6'
_cell_length_a 17.685
_cell_length_b 3.998
_cell_length_c 8.258
_cell_angle_alpha 90.00
_cell_angle_beta 103.41
_cell_angle_gamma 90.00
_space_group_name_H-M_alt 'C 1 2/m 1'
_space_group_IT_number 12
_space_group_name_Hall '-C 2y'
loop_
_atom_site_label
_atom_site_fract_x
_atom_site_fract_y
_atom_site_fract_z
Pr1 0.016 0.000 0.269
Pr2 0.173 0.500 0.119
Pr3 0.175 0.500 0.567
C1 0.168 0.000 0.334
Se1 0.000 0.500 0.000
S1 0.000 0.500 0.500
S2 0.162 0.000 0.835

=====

3.
# MnFe2W | the Alexandria database | PBE | relaxed
# distance to the lowest polymorph of the same formula: 69 meV/atom
data_MnFe2W
_chemical_formula_sum 'Mn1 Fe2 W1'
_cell_length_a 2.584
_cell_length_b 4.069
_cell_length_c 4.913
_cell_angle_alpha 90.00
_cell_angle_beta 100.81
_cell_angle_gamma 90.00
_space_group_name_H-M_alt 'P 1 m 1'
_space_group_IT_number 6
_space_group_name_Hall 'P -2y'
loop_
_atom_site_label
_atom_site_fract_x
_atom_site_fract_y
_atom_site_fract_z
Mn1 0.000 0.000 0.000
Fe1 0.256 0.500 0.759
Fe2 0.494 0.000 0.522
W1 0.749 0.500 0.259

=====

4.
# SrAcEuEr | the Alexandria database | PBE | relaxed
# energy: -4.988 eV per atom
data_SrAcEuEr
_chemical_formula_sum 'Sr4 Ac4 Eu4 Er4'
_cell_length_a 8.733
_cell_length_b 8.733
_cell_length_c 8.733
_cell_angle_alpha 90.00
_cell_angle_beta 90.00
_cell_angle_gamma 90.00
_space_group_name_H-M_alt 'F -4 3 m'
_space_group_IT_number 216
_space_group_name_Hall 'F -4 2 3'
loop_
_atom_site_label
_atom_site_fract_x
_atom_site_fract_y
_atom_site_fract_z
Sr1 0.000 0.000 0.000
Ac1 0.250 0.250 0.750
Eu1 0.250 0.250 0.250
Er1 0.000 0.000 0.500

=====

5.
# AcMgTl2 | the Alexandria database | PBE | relaxed
# distance to the lowest polymorph of the same formula: 38 meV/atom
data_AcMgTl2
_chemical_formula_sum 'Ac4 Mg4 Tl8'
_cell_length_a 7.840
_cell_length_b 7.840
_cell_length_c 7.840
_cell_angle_alpha 90.00
_cell_angle_beta 90.00
_cell_angle_gamma 90.00
_space_group_name_H-M_alt 'F m -3 m'
_space_group_IT_number 225
_space_group_name_Hall '-F 4 2 3'
loop_
_atom_site_label
_atom_site_fract_x
_atom_site_fract_y
_atom_site_fract_z
Ac1 0.000 0.000 0.000
Mg1 0.000 0.000 0.500
Tl1 0.250 0.250 0.250

=====

6.
# La2Mg2Pd15 | the Alexandria database | PBE | relaxed
# energy: -5.282 eV per atom
data_La2Mg2Pd15
_chemical_formula_sum 'La6 Mg6 Pd45'
_cell_length_a 9.1729
_cell_length_b 9.1729
_cell_length_c 13.9562
_cell_angle_alpha 90.00
_cell_angle_beta 90.00
_cell_angle_gamma 120.00
_space_group_name_H-M_alt 'R -3 m'
_space_group_IT_number 166
_space_group_name_Hall '-R 3 2"'
loop_
_atom_site_label
_atom_site_fract_x
_atom_site_fract_y
_atom_site_fract_z
La1 0.0000 0.0000 0.1509
Mg1 0.0000 0.0000 0.4000
Pd1 0.0000 0.3028 0.5000
Pd2 0.0000 0.5000 0.0000
Pd3 0.0013 0.5007 0.6533

=====

7.
# La2CuBiS5 | the Alexandria database | PBE | relaxed
# energy: -5.650 eV per atom
data_La2CuBiS5
_chemical_formula_sum 'La8 Cu4 Bi4 S20'
_cell_length_a 12.122
_cell_length_b 3.999
_cell_length_c 17.074
_cell_angle_alpha 90.00
_cell_angle_beta 90.00
_cell_angle_gamma 90.00
_space_group_name_H-M_alt 'P n m a'
_space_group_IT_number 62
_space_group_name_Hall '-P 2ac 2n'
loop_
_atom_site_label
_atom_site_fract_x
_atom_site_fract_y
_atom_site_fract_z
La1 0.038 0.250 0.173
La2 0.126 0.750 0.597
Cu1 0.087 0.750 0.997
Bi1 0.199 0.750 0.363
S1 0.011 0.250 0.702
S2 0.084 0.250 0.924
S3 0.104 0.250 0.469
S4 0.192 0.750 0.108
S5 0.241 0.750 0.763

=====

8.
# Tb3CeCo2 | the Alexandria database | PBE | relaxed
# distance to the lowest polymorph of the same formula: 0 meV/atom
data_Tb3CeCo2
_chemical_formula_sum 'Tb12 Ce4 Co8'
_cell_length_a 16.695
_cell_length_b 3.693
_cell_length_c 11.680
_cell_angle_alpha 90.00
_cell_angle_beta 125.44
_cell_angle_gamma 90.00
_space_group_name_H-M_alt 'C 1 2/m 1'
_space_group_IT_number 12
_space_group_name_Hall '-C 2y'
loop_
_atom_site_label
_atom_site_fract_x
_atom_site_fract_y
_atom_site_fract_z
Tb1 0.080 0.000 0.441
Tb2 0.083 0.000 0.947
Tb3 0.156 0.500 0.750
Ce1 0.165 0.500 0.266
Co1 0.234 0.500 0.049
Co2 0.239 0.500 0.571

=====

9.
# NaSbPb2O8 | the Alexandria database | PBE | relaxed
# energy: -5.267 eV per atom
data_NaSbPb2O8
_chemical_formula_sum 'Na1 Sb1 Pb2 O8'
_cell_length_a 4.414
_cell_length_b 7.153
_cell_length_c 5.233
_cell_angle_alpha 90.00
_cell_angle_beta 93.17
_cell_angle_gamma 90.00
_space_group_name_H-M_alt 'P 1 2/m 1'
_space_group_IT_number 10
_space_group_name_Hall '-P 2y'
loop_
_atom_site_label
_atom_site_fract_x
_atom_site_fract_y
_atom_site_fract_z
Na1 0.000 0.000 0.000
Sb1 0.000 0.500 0.000
Pb1 0.500 0.269 0.500
O1 0.142 0.000 0.572
O2 0.228 0.277 0.152
O3 0.249 0.500 0.683

=====

10.
# AcTm2Pb | the Alexandria database | PBE | relaxed
# distance to the lowest polymorph of the same formula: 25 meV/atom
data_AcTm2Pb
_chemical_formula_sum 'Ac1 Tm2 Pb1'
_cell_length_a 3.868
_cell_length_b 3.868
_cell_length_c 8.657
_cell_angle_alpha 90.00
_cell_angle_beta 90.00
_cell_angle_gamma 90.00
_space_group_name_H-M_alt 'P 4/m m m'
_space_group_IT_number 123
_space_group_name_Hall '-P 4 2'
loop_
_atom_site_label
_atom_site_fract_x
_atom_site_fract_y
_atom_site_fract_z
Ac1 0.000 0.000 0.000
Tm1 0.500 0.500 0.292
Pb1 0.000 0.000 0.500

=====

11.
# SmEuPd2 | the Alexandria database | PBE | relaxed
# distance to the lowest polymorph of the same formula: 0 meV/atom
data_SmEuPd2
_chemical_formula_sum 'Sm1 Eu1 Pd2'
_cell_length_a 3.603
_cell_length_b 3.603
_cell_length_c 7.260
_cell_angle_alpha 90.00
_cell_angle_beta 90.00
_cell_angle_gamma 90.00
_space_group_name_H-M_alt 'P 4/m m m'
_space_group_IT_number 123
_space_group_name_Hall '-P 4 2'
loop_
_atom_site_label
_atom_site_fract_x
_atom_site_fract_y
_atom_site_fract_z
Sm1 0.000 0.000 0.000
Eu1 0.000 0.000 0.500
Pd1 0.500 0.500 0.227

=====

12.
# Bi2Pb3F12 | the Alexandria database | PBE | relaxed
# energy: -4.816 eV per atom
data_Bi2Pb3F12
_chemical_formula_sum 'Bi2 Pb3 F12'
_cell_length_a 4.272
_cell_length_b 4.315
_cell_length_c 17.214
_cell_angle_alpha 94.41
_cell_angle_beta 91.10
_cell_angle_gamma 118.54
_space_group_name_H-M_alt 'P 1'
_space_group_IT_number 1
_space_group_name_Hall 'P 1'
loop_
_atom_site_label
_atom_site_fract_x
_atom_site_fract_y
_atom_site_fract_z
Bi1 0.000 0.000 0.000
Bi2 0.436 0.972 0.212
Pb1 0.309 0.554 0.614
Pb2 0.680 0.298 0.813
Pb3 0.920 0.805 0.416
F1 0.071 0.013 0.861
F2 0.237 0.382 0.207
F3 0.258 0.472 0.462
F4 0.365 0.633 0.760
F5 0.481 0.745 0.939
F6 0.560 0.092 0.359
F7 0.612 0.033 0.083
F8 0.654 0.240 0.663
F9 0.823 0.426 0.967
F10 0.919 0.751 0.272
F11 0.959 0.867 0.569
F12 0.985 0.746 0.122

=====

13.
# LiMg6Sc3 | the Alexandria database | PBE | relaxed
# energy: -3.080 eV per atom
data_LiMg6Sc3
_chemical_formula_sum 'Li2 Mg12 Sc6'
_cell_length_a 8.819
_cell_length_b 4.975
_cell_length_c 10.638
_cell_angle_alpha 90.00
_cell_angle_beta 104.56
_cell_angle_gamma 90.00
_space_group_name_H-M_alt 'P 1 21/m 1'
_space_group_IT_number 11
_space_group_name_Hall '-P 2yb'
loop_
_atom_site_label
_atom_site_fract_x
_atom_site_fract_y
_atom_site_fract_z
Li1 0.049 0.250 0.396
Mg1 0.051 0.750 0.891
Mg2 0.144 0.250 0.687
Mg3 0.144 0.750 0.190
Mg4 0.233 0.750 0.495
Mg5 0.331 0.250 0.297
Mg6 0.441 0.750 0.098
Sc1 0.254 0.250 0.992
Sc2 0.363 0.750 0.798
Sc3 0.461 0.250 0.602

=====

14.
# MnCr2Pb | the Alexandria database | PBE | relaxed
# energy: -7.274 eV per atom
data_MnCr2Pb
_chemical_formula_sum 'Mn1 Cr2 Pb1'
_cell_length_a 4.003
_cell_length_b 4.003
_cell_length_c 3.978
_cell_angle_alpha 90.00
_cell_angle_beta 90.00
_cell_angle_gamma 90.00
_space_group_name_H-M_alt 'P 4/m m m'
_space_group_IT_number 123
_space_group_name_Hall '-P 4 2'
loop_
_atom_site_label
_atom_site_fract_x
_atom_site_fract_y
_atom_site_fract_z
Mn1 0.000 0.000 0.000
Cr1 0.000 0.500 0.500
Pb1 0.500 0.500 0.000

=====

15.
# ZrIrO2F | the Alexandria database | PBE | relaxed
# energy: -6.392 eV per atom
data_ZrIrO2F
_chemical_formula_sum 'Zr1 Ir1 O2 F1'
_cell_length_a 3.969
_cell_length_b 3.969
_cell_length_c 4.248
_cell_angle_alpha 90.00
_cell_angle_beta 90.00
_cell_angle_gamma 90.00
_space_group_name_H-M_alt 'P 4/m m m'
_space_group_IT_number 123
_space_group_name_Hall '-P 4 2'
loop_
_atom_site_label
_atom_site_fract_x
_atom_site_fract_y
_atom_site_fract_z
Zr1 0.000 0.000 0.000
Ir1 0.500 0.500 0.500
O1 0.000 0.500 0.500
F1 0.500 0.500 0.000

=====

16.
# Sr4Zn2In | the Alexandria database | PBE | relaxed
# energy: -1.921 eV per atom
data_Sr4Zn2In
_chemical_formula_sum 'Sr12 Zn6 In3'
_cell_length_a 5.6024
_cell_length_b 5.6024
_cell_length_c 27.4901
_cell_angle_alpha 90.00
_cell_angle_beta 90.00
_cell_angle_gamma 120.00
_space_group_name_H-M_alt 'R -3 m'
_space_group_IT_number 166
_space_group_name_Hall '-R 3 2"'
loop_
_atom_site_label
_atom_site_fract_x
_atom_site_fract_y
_atom_site_fract_z
Sr1 0.0000 0.0000 0.1231
Sr2 0.0000 0.0000 0.3744
Zn1 0.0000 0.0000 0.2473
In1 0.0000 0.0000 0.5000

=====

17.
# KYCuI5 | the Alexandria database | PBE | relaxed
# energy: -3.505 eV per atom
data_KYCuI5
_chemical_formula_sum 'K4 Y4 Cu4 I20'
_cell_length_a 9.961
_cell_length_b 13.187
_cell_length_c 11.274
_cell_angle_alpha 90.00
_cell_angle_beta 113.62
_cell_angle_gamma 90.00
_space_group_name_H-M_alt 'C 1 2/c 1'
_space_group_IT_number 15
_space_group_name_Hall '-C 2yc'
loop_
_atom_site_label
_atom_site_fract_x
_atom_site_fract_y
_atom_site_fract_z
K1 0.000 0.137 0.250
Y1 0.000 0.500 0.000
Cu1 0.000 0.190 0.750
I1 0.000 0.410 0.250
I2 0.122 0.297 0.624
I3 0.189 0.075 0.936

=====

18.
# LuTlPb | the Alexandria database | PBE | relaxed
# distance to the lowest polymorph of the same formula: 0 meV/atom
data_LuTlPb
_chemical_formula_sum 'Lu1 Tl1 Pb1'
_cell_length_a 5.2307
_cell_length_b 5.2307
_cell_length_c 3.6030
_cell_angle_alpha 90.00
_cell_angle_beta 90.00
_cell_angle_gamma 120.00
_space_group_name_H-M_alt 'P 3 m 1'
_space_group_IT_number 156
_space_group_name_Hall 'P 3 -2"'
loop_
_atom_site_label
_atom_site_fract_x
_atom_site_fract_y
_atom_site_fract_z
Lu1 0.0000 0.0000 0.0000
Tl1 0.3333 0.6667 0.2857
Pb1 0.6667 0.3333 0.6422

=====

19.
# Cd2CoHPt | the Alexandria database | PBE | relaxed
# energy: -3.613 eV per atom
data_Cd2CoHPt
_chemical_formula_sum 'Cd2 Co1 H1 Pt1'
_cell_length_a 4.624
_cell_length_b 4.624
_cell_length_c 3.228
_cell_angle_alpha 90.00
_cell_angle_beta 90.00
_cell_angle_gamma 90.00
_space_group_name_H-M_alt 'P 4/m m m'
_space_group_IT_number 123
_space_group_name_Hall '-P 4 2'
loop_
_atom_site_label
_atom_site_fract_x
_atom_site_fract_y
_atom_site_fract_z
Cd1 0.000 0.500 0.000
Co1 0.000 0.000 0.500
H1 0.000 0.000 0.000
Pt1 0.500 0.500 0.500

=====

20.
# BaNaV | the Alexandria database | PBE | relaxed
# distance to the lowest polymorph of the same formula: 88 meV/atom
data_BaNaV
_chemical_formula_sum 'Ba2 Na2 V2'
_cell_length_a 4.321
_cell_length_b 6.503
_cell_length_c 8.602
_cell_angle_alpha 80.37
_cell_angle_beta 89.21
_cell_angle_gamma 72.84
_space_group_name_H-M_alt 'P 1'
_space_group_IT_number 1
_space_group_name_Hall 'P 1'
loop_
_atom_site_label
_atom_site_fract_x
_atom_site_fract_y
_atom_site_fract_z
Ba1 0.000 0.000 0.000
Ba2 0.222 0.545 0.735
Na1 0.315 0.336 0.298
Na2 0.625 0.757 0.379
V1 0.535 0.033 0.652
V2 0.891 0.116 0.583